No. 1
Crystalline SrMo2Br at its relaxed geometry, computed with PBE-GGA.

a = 5.447 Å, b = 10.745 Å, c = 3.000 Å
α = 90.00°, β = 90.00°, γ = 90.00°
Fractional positions:
Sr 0.000 0.000 0.000
Sr 0.500 0.500 0.000
Mo 0.250 0.250 0.500
Mo 0.250 0.750 0.500
Mo 0.750 0.250 0.500
Mo 0.750 0.750 0.500
Br 0.000 0.500 0.000
Br 0.500 0.000 0.000

Output
M_tot = 0.793 Bohr magnetons per cell
symmetry = Cmmm (65)
energy relative to the elements, uncorrected = 1104 meV/atom

No. 2
Crystalline Sr2LiSbPd6 at its relaxed geometry, computed with PBE-GGA.

a = 6.693 Å, b = 6.703 Å, c = 6.811 Å
α = 60.90°, β = 60.97°, γ = 60.32°
Fractional positions:
Sr 0.218 0.217 0.347
Sr 0.782 0.783 0.653
Li 0.000 0.000 0.000
Sb 0.500 0.500 0.500
Pd 0.239 0.662 0.858
Pd 0.240 0.240 0.856
Pd 0.339 0.760 0.141
Pd 0.661 0.240 0.859
Pd 0.760 0.760 0.144
Pd 0.761 0.338 0.142

Output
M_tot = 0.000 Bohr magnetons per cell
symmetry = P-1 (2)
energy relative to the elements, uncorrected = -453 meV/atom

No. 3
Crystalline KTaTl2 at its relaxed geometry, computed with PBE-GGA.

a = 3.977 Å, b = 3.977 Å, c = 8.655 Å
α = 90.00°, β = 90.00°, γ = 90.00°
Fractional positions:
K 0.000 0.000 0.000
Ta 0.500 0.500 0.377
Tl 0.000 0.000 0.391
Tl 0.500 0.500 0.700

Output
energy of formation from the pure elements = 0.71 eV per atom
M_tot = 0.000 Bohr magnetons per cell
symmetry = P4mm (99)

No. 4
Crystalline Zn2TcAu at its relaxed geometry, computed with PBE-GGA.

a = 6.210 Å, b = 6.210 Å, c = 6.210 Å
α = 90.00°, β = 90.00°, γ = 90.00°
Fractional positions:
Zn 0.250 0.250 0.250
Zn 0.250 0.250 0.750
Zn 0.250 0.750 0.250
Zn 0.250 0.750 0.750
Zn 0.750 0.250 0.250
Zn 0.750 0.250 0.750
Zn 0.750 0.750 0.250
Zn 0.750 0.750 0.750
Tc 0.000 0.000 0.000
Tc 0.000 0.500 0.500
Tc 0.500 0.000 0.500
Tc 0.500 0.500 0.000
Au 0.000 0.000 0.500
Au 0.000 0.500 0.000
Au 0.500 0.000 0.000
Au 0.500 0.500 0.500

Output
energy of formation from the pure elements = 0.12 eV per atom
M_tot = 3.859 Bohr magnetons per cell
symmetry = Fm-3m (225)

No. 5
Crystalline Er6Zn5Ir at its relaxed geometry, computed with PBE-GGA.

a = 7.834 Å, b = 7.834 Å, c = 7.035 Å
α = 90.00°, β = 90.00°, γ = 143.14°
Fractional positions:
Er 0.000 0.000 0.240
Er 0.000 0.000 0.760
Er 0.339 0.661 0.245
Er 0.339 0.661 0.755
Er 0.661 0.339 0.245
Er 0.661 0.339 0.755
Zn 0.169 0.831 0.500
Zn 0.175 0.825 0.000
Zn 0.500 0.500 0.500
Zn 0.825 0.175 0.000
Zn 0.831 0.169 0.500
Ir 0.500 0.500 0.000

Output
energy of formation from the pure elements = -0.48 eV per atom
M_tot = 0.000 Bohr magnetons per cell
symmetry = Cmmm (65)

No. 6
Crystalline Pu2SiAsAu6 at its relaxed geometry, computed with PBE-GGA.

a = 6.197 Å, b = 8.989 Å, c = 8.580 Å
α = 90.00°, β = 90.00°, γ = 90.00°
Fractional positions:
Pu 0.250 0.049 0.135
Pu 0.250 0.451 0.135
Pu 0.750 0.549 0.865
Pu 0.750 0.951 0.865
Si 0.250 0.750 0.884
Si 0.750 0.250 0.116
As 0.250 0.250 0.602
As 0.750 0.750 0.398
Au 0.005 0.250 0.891
Au 0.007 0.750 0.629
Au 0.250 0.002 0.761
Au 0.250 0.498 0.761
Au 0.493 0.750 0.629
Au 0.495 0.250 0.891
Au 0.505 0.750 0.109
Au 0.507 0.250 0.371
Au 0.750 0.502 0.239
Au 0.750 0.998 0.239
Au 0.993 0.250 0.371
Au 0.995 0.750 0.109

Output
M_tot = 23.156 Bohr magnetons per cell
symmetry = Pmmn (59)
energy relative to the elements, uncorrected = -189 meV/atom

No. 7
Crystalline CuSn at its relaxed geometry, computed with PBE-GGA.

a = 3.814 Å, b = 4.078 Å, c = 5.200 Å
α = 90.00°, β = 111.42°, γ = 90.00°
Fractional positions:
Cu 0.072 0.250 0.153
Cu 0.928 0.750 0.847
Sn 0.359 0.250 0.716
Sn 0.641 0.750 0.284

Output
energy of formation from the pure elements = 0.03 eV per atom
M_tot = 0.000 Bohr magnetons per cell
symmetry = P2_1/m (11)

No. 8
Crystalline Mg3Te4 at its relaxed geometry, computed with PBE-GGA.

a = 4.036 Å, b = 4.036 Å, c = 25.201 Å
α = 90.00°, β = 90.00°, γ = 90.00°
Fractional positions:
Mg 0.000 0.000 0.000
Mg 0.000 0.000 0.294
Mg 0.000 0.000 0.706
Mg 0.500 0.500 0.206
Mg 0.500 0.500 0.500
Mg 0.500 0.500 0.794
Te 0.000 0.000 0.179
Te 0.000 0.000 0.443
Te 0.000 0.000 0.557
Te 0.000 0.000 0.821
Te 0.500 0.500 0.057
Te 0.500 0.500 0.321
Te 0.500 0.500 0.679
Te 0.500 0.500 0.943

Output
M_tot = 0.000 Bohr magnetons per cell
symmetry = I4/mmm (139)
energy relative to the elements, uncorrected = -504 meV/atom

No. 9
Crystalline CdPBrO2 at its relaxed geometry, computed with PBE-GGA.

a = 4.073 Å, b = 4.073 Å, c = 6.344 Å
α = 90.00°, β = 90.00°, γ = 90.00°
Fractional positions:
Cd 0.000 0.000 0.000
P 0.000 0.000 0.500
Br 0.500 0.500 0.500
O 0.000 0.500 0.000
O 0.500 0.000 0.000

Output
M_tot = 2.437 Bohr magnetons per cell
symmetry = P4/mmm (123)
energy relative to the elements, uncorrected = 572 meV/atom

No. 10
Crystalline ScHg2Br at its relaxed geometry, computed with PBE-GGA.

a = 3.709 Å, b = 3.709 Å, c = 25.817 Å
α = 90.00°, β = 90.00°, γ = 120.00°
Fractional positions:
Sc 0.000 0.000 0.000
Sc 0.333 0.667 0.667
Sc 0.667 0.333 0.333
Hg 0.000 0.000 0.254
Hg 0.000 0.000 0.746
Hg 0.333 0.667 0.413
Hg 0.333 0.667 0.920
Hg 0.667 0.333 0.080
Hg 0.667 0.333 0.587
Br 0.000 0.000 0.500
Br 0.333 0.667 0.167
Br 0.667 0.333 0.833

Output
M_tot = 0.002 Bohr magnetons per cell
symmetry = R-3m (166)
energy relative to the elements, uncorrected = -263 meV/atom

No. 11
Crystalline BaRuPt at its relaxed geometry, computed with PBE-GGA.

a = 6.719 Å, b = 6.719 Å, c = 6.719 Å
α = 90.00°, β = 90.00°, γ = 90.00°
Fractional positions:
Ba 0.000 0.000 0.000
Ba 0.000 0.500 0.500
Ba 0.500 0.000 0.500
Ba 0.500 0.500 0.000
Ru 0.250 0.250 0.750
Ru 0.250 0.750 0.250
Ru 0.750 0.250 0.250
Ru 0.750 0.750 0.750
Pt 0.000 0.000 0.500
Pt 0.000 0.500 0.000
Pt 0.500 0.000 0.000
Pt 0.500 0.500 0.500

Output
energy of formation from the pure elements = 0.62 eV per atom
M_tot = 7.332 Bohr magnetons per cell
symmetry = F-43m (216)

> Look up the M_tot of the first one.

0.793 Bohr magnetons per cell

> Which of these has the highest M_tot?

Pu2SiAsAu6